## K2CdOsS4 (PBE)

Data for crystalline K2CdOsS4 at its relaxed geometry.

**Final energy**: -4.41 eV per atom
**Magnetization**: 0.03 μB per formula unit
**Symmetry**: C2 (5)

Lattice parameters (Å, degrees): 6.5683 6.5683 7.3431 123.92 123.92 75.63
With the nearest neighbours (Å) after each atom.
Fractional positions:
K (0.0000, 0.0000, 0.0000)  8 S 3.41-3.60
K (0.7496, 0.2504, 0.5000)  4 S 3.13
Cd (0.2502, 0.7498, 0.5000)  4 S 2.58
Os (0.5005, 0.4995, 0.0000)  4 S 2.23
S (0.2139, 0.4666, 0.6229)  1 Os 2.23
S (0.4104, 0.1545, 0.9421)  1 Os 2.23
S (0.5334, 0.7861, 0.3771)  1 Os 2.23
S (0.8455, 0.5896, 0.0579)  1 Os 2.23


## KRbCd2P2 (PBE)

Data for crystalline KRbCd2P2 at its relaxed geometry.

**Distance to the lowest polymorph of the same formula**: 0.073 eV/atom
**Final energy**: -2.72 eV per atom
**Symmetry**: P4mm (99)

Lattice parameters (Å, degrees): 4.2221 4.2221 8.5299 90.00 90.00 90.00
With the nearest neighbours (Å) after each atom.
Fractional positions:
K (0.0000, 0.0000, 0.0000)  4 P 3.19, 4 Cd 3.53
Rb (0.5000, 0.5000, 0.3057)  4 P 3.31
Cd (0.0000, 0.5000, 0.6680)  4 P 2.68-2.71, 4 Cd 2.99
Cd (0.5000, 0.0000, 0.6680)  4 P 2.68-2.71, 4 Cd 2.99
P (0.0000, 0.0000, 0.4738)  4 Cd 2.68
P (0.5000, 0.5000, 0.8676)  4 Cd 2.71


## KRbCd2P2 (PBE)

Data for crystalline KRbCd2P2 at its relaxed geometry.

**Distance to the lowest polymorph of the same formula**: 0.000 eV/atom
**Final energy**: -2.79 eV per atom
**Symmetry**: P-3m1 (164)

Lattice parameters (Å, degrees): 4.4290 4.4290 10.2355 90.00 90.00 120.00
With the nearest neighbours (Å) after each atom.
Fractional positions:
K (0.0000, 0.0000, 0.0000)  6 Cd 3.54, 6 P 3.56
Rb (0.0000, 0.0000, 0.5000)  6 P 3.67, 6 Cd 3.69
Cd (0.3333, 0.6667, 0.2396)  3 P 2.56
Cd (0.6667, 0.3333, 0.7604)  3 P 2.56
P (0.3333, 0.6667, 0.7574)  3 Cd 2.56
P (0.6667, 0.3333, 0.2426)  3 Cd 2.56


## KPaCd (PBE)

Data for crystalline KPaCd at its relaxed geometry.

**Distance to the lowest polymorph of the same formula**: 0.000 eV/atom
**Final energy**: -2.65 eV per atom
**Magnetization**: 2.34 μB per formula unit
**Symmetry**: F-43m (216)

Lattice parameters (Å, degrees): 5.4285 5.4285 5.4285 60.00 60.00 60.00
With the nearest neighbours (Å) after each atom.
Fractional positions:
K (0.0000, 0.0000, 0.0000)  4 Cd 3.32
Pa (0.5000, 0.5000, 0.5000)  4 Cd 3.32
Cd (0.2500, 0.2500, 0.2500)  4 Pa 3.32, 4 K 3.32


## KCdPb (PBE)

Data for crystalline KCdPb at its relaxed geometry.

**Distance to the lowest polymorph of the same formula**: 0.000 eV/atom
**Final energy**: -1.87 eV per atom
**Symmetry**: F-43m (216)

Lattice parameters (Å, degrees): 5.3367 5.3367 5.3367 60.00 60.00 60.00
With the nearest neighbours (Å) after each atom.
Fractional positions:
K (0.0000, 0.0000, 0.0000)  4 Cd 3.27
Cd (0.2500, 0.2500, 0.2500)  4 Pb 3.27, 4 K 3.27
Pb (0.5000, 0.5000, 0.5000)  4 Cd 3.27


## KRbCdPb (PBE)

Data for crystalline KRbCdPb at its relaxed geometry.

**Final energy**: -1.84 eV per atom
**Symmetry**: Amm2 (38)

Lattice parameters (Å, degrees): 6.6781 7.1694 7.1694 104.06 90.00 90.00
With the nearest neighbours (Å) after each atom.
Fractional positions:
K (0.0000, 0.1740, 0.8260)  4 Pb 3.84-3.95, 1 K 3.93, 4 Cd 4.05-4.25, 4 Rb 4.19-4.20
K (0.0000, 0.8260, 0.1740)  4 Pb 3.84-3.95, 1 K 3.93, 4 Cd 4.05-4.25, 4 Rb 4.19-4.20
Rb (0.5000, 0.5389, 0.8884)  4 Pb 3.82-3.96, 1 Rb 3.95, 4 Cd 4.09-4.22, 4 K 4.19-4.20
Rb (0.5000, 0.8884, 0.5389)  4 Pb 3.82-3.96, 1 Rb 3.95, 4 Cd 4.09-4.22, 4 K 4.19-4.20
Cd (0.2502, 0.3542, 0.3542)  2 Pb 2.90
Cd (0.7498, 0.3542, 0.3542)  2 Pb 2.90
Pb (0.0000, 0.6230, 0.6230)  2 Cd 2.90
Pb (0.5000, 0.0849, 0.0849)  2 Cd 2.90


## K4TlCd2Pb (PBE)

Data for crystalline K4TlCd2Pb at its relaxed geometry.

**Final energy**: -1.60 eV per atom
**Symmetry**: P-4m2 (115)

Lattice parameters (Å, degrees): 5.6893 5.6893 8.1877 90.00 90.00 90.00
With the nearest neighbours (Å) after each atom.
Fractional positions:
K (0.0000, 0.0000, 0.0000)  4 K 3.50, 4 Cd 3.51
K (0.0000, 0.5000, 0.2486)  2 Tl 3.50, 4 K 3.50-3.51, 2 Pb 3.51
K (0.5000, 0.0000, 0.7514)  2 Tl 3.50, 4 K 3.50-3.51, 2 Pb 3.51
K (0.5000, 0.5000, 0.5000)  4 Cd 3.50, 4 K 3.51
Tl (0.5000, 0.5000, 0.0000)  4 K 3.50, 4 Cd 3.51
Cd (0.0000, 0.5000, 0.7482)  2 Pb 3.50, 4 K 3.50-3.51, 2 Tl 3.51
Cd (0.5000, 0.0000, 0.2518)  2 Pb 3.50, 4 K 3.50-3.51, 2 Tl 3.51
Pb (0.0000, 0.0000, 0.5000)  4 Cd 3.50, 4 K 3.51


## K2CdPdS4 (PBE)

Data for crystalline K2CdPdS4 at its relaxed geometry.

**Final energy**: -3.62 eV per atom
**Symmetry**: C2 (5)

Lattice parameters (Å, degrees): 6.4439 6.4439 7.3843 124.92 124.92 71.82
With the nearest neighbours (Å) after each atom.
Fractional positions:
K (0.0000, 0.0000, 0.0000)  4 S 3.14
K (0.7514, 0.2486, 0.5000)  8 S 3.29-3.40
Cd (0.2511, 0.7489, 0.5000)  4 S 2.56-2.57
Pd (0.5006, 0.4994, 0.0000)  4 S 2.30-2.31
S (0.2463, 0.4141, 0.5831)  1 Pd 2.30, 1 Cd 2.57
S (0.3409, 0.1644, 0.9223)  1 Pd 2.31, 1 Cd 2.56
S (0.5859, 0.7537, 0.4169)  1 Pd 2.30, 1 Cd 2.57
S (0.8356, 0.6591, 0.0777)  1 Pd 2.31, 1 Cd 2.56


## KPmCd (PBE)

Data for crystalline KPmCd at its relaxed geometry.

**Distance to the lowest polymorph of the same formula**: 0.000 eV/atom
**Final energy**: -1.64 eV per atom
**Magnetization**: 0.93 μB per formula unit
**Symmetry**: F-43m (216)

Lattice parameters (Å, degrees): 5.4489 5.4489 5.4489 60.00 60.00 60.00
With the nearest neighbours (Å) after each atom.
Fractional positions:
K (0.0000, 0.0000, 0.0000)  4 Pm 3.34
Pm (0.7500, 0.7500, 0.7500)  4 Cd 3.34, 4 K 3.34
Cd (0.5000, 0.5000, 0.5000)  4 Pm 3.34


## KPrCdS3 (PBE)

Data for crystalline KPrCdS3 at its relaxed geometry.

**Distance to the lowest polymorph of the same formula**: 0.000 eV/atom
**Final energy**: -4.57 eV per atom
**Magnetization**: 0.00 μB per formula unit
**Symmetry**: Cmcm (63)

Lattice parameters (Å, degrees): 7.4897 7.4897 11.0706 90.00 90.00 147.26
With the nearest neighbours (Å) after each atom.
Fractional positions:
K (0.2441, 0.7559, 0.7500)  6 S 3.28-3.51
K (0.7559, 0.2441, 0.2500)  6 S 3.28-3.51
Pr (0.5000, 0.5000, 0.0000)  6 S 2.88-2.94
Pr (0.5000, 0.5000, 0.5000)  6 S 2.88-2.94
Cd (0.0377, 0.9623, 0.2500)  4 S 2.50-2.61
Cd (0.9623, 0.0377, 0.7500)  4 S 2.50-2.61
S (0.1288, 0.8712, 0.0580)  1 Cd 2.50
S (0.1288, 0.8712, 0.4420)  1 Cd 2.50
S (0.4305, 0.5695, 0.2500)  2 Cd 2.61
S (0.5695, 0.4305, 0.7500)  2 Cd 2.61
S (0.8712, 0.1288, 0.5580)  1 Cd 2.50
S (0.8712, 0.1288, 0.9420)  1 Cd 2.50


## KPrCdS3 (PBE)

Data for crystalline KPrCdS3 at its relaxed geometry.

**Distance to the lowest polymorph of the same formula**: 0.005 eV/atom
**Final energy**: -4.57 eV per atom
**Magnetization**: 0.00 μB per formula unit
**Symmetry**: Pnma (62)

Lattice parameters (Å, degrees): 11.7345 4.3133 12.3606 90.00 90.00 90.00
With the nearest neighbours (Å) after each atom.
Fractional positions:
K (0.1573, 0.2500, 0.0004)  5 S 3.19-3.31
K (0.3427, 0.7500, 0.5004)  5 S 3.19-3.31
K (0.6573, 0.2500, 0.4996)  5 S 3.19-3.31
K (0.8427, 0.7500, 0.9996)  5 S 3.19-3.31
Pr (0.0270, 0.2500, 0.3311)  6 S 2.92-2.97
Pr (0.4730, 0.7500, 0.8311)  6 S 2.92-2.97
Pr (0.5270, 0.2500, 0.1689)  6 S 2.92-2.97
Pr (0.9730, 0.7500, 0.6689)  6 S 2.92-2.97
Cd (0.2433, 0.2500, 0.7120)  4 S 2.52-2.55
Cd (0.2567, 0.7500, 0.2120)  4 S 2.52-2.55
Cd (0.7433, 0.2500, 0.7880)  4 S 2.52-2.55
Cd (0.7567, 0.7500, 0.2880)  4 S 2.52-2.55
S (0.0452, 0.7500, 0.1733)  1 Cd 2.53
S (0.0978, 0.2500, 0.5617)  1 Cd 2.52
S (0.2219, 0.7500, 0.8206)  2 Cd 2.55
S (0.2781, 0.2500, 0.3206)  2 Cd 2.55
S (0.4022, 0.7500, 0.0617)  1 Cd 2.52
S (0.4548, 0.2500, 0.6733)  1 Cd 2.53
S (0.5452, 0.7500, 0.3267)  1 Cd 2.53
S (0.5978, 0.2500, 0.9383)  1 Cd 2.52
S (0.7219, 0.7500, 0.6794)  2 Cd 2.55
S (0.7781, 0.2500, 0.1794)  2 Cd 2.55
S (0.9022, 0.7500, 0.4383)  1 Cd 2.52
S (0.9548, 0.2500, 0.8267)  1 Cd 2.53


## KPrCdSe3 (PBE)

Data for crystalline KPrCdSe3 at its relaxed geometry.

**Final energy**: -4.14 eV per atom
**Magnetization**: 0.00 μB per formula unit
**Symmetry**: C2/m (12)

Lattice parameters (Å, degrees): 9.4063 9.4063 9.3385 104.26 104.26 26.82
With the nearest neighbours (Å) after each atom.
Fractional positions:
K (0.1382, 0.1382, 0.0708)  7 Se 3.28-3.47
K (0.8618, 0.8618, 0.9292)  7 Se 3.28-3.47
Pr (0.1735, 0.1735, 0.5954)  6 Se 2.95-3.07
Pr (0.8265, 0.8265, 0.4046)  6 Se 2.95-3.07
Cd (0.4902, 0.4902, 0.2808)  4 Se 2.67-2.97
Cd (0.5098, 0.5098, 0.7192)  4 Se 2.67-2.97
Se (0.0000, 0.0000, 0.5000)  4 Cd 2.97, 2 Pr 3.07
Se (0.3338, 0.3338, 0.1960)  1 Cd 2.77, 2 Pr 2.95
Se (0.3384, 0.3384, 0.6317)  3 Pr 2.95-3.01, 1 Cd 3.03
Se (0.5000, 0.5000, 0.0000)  2 Cd 2.67
Se (0.6616, 0.6616, 0.3683)  3 Pr 2.95-3.01, 1 Cd 3.03
Se (0.6662, 0.6662, 0.8040)  1 Cd 2.77, 2 Pr 2.95